First-principles (PBE) data for crystalline BaAg2Os at its relaxed geometry, as listed in Alexandria.

Computed properties:
- raw total energy (eV for the cell shown) = -15.88
- magnetization (μB per cell) = 0.0
- formation enthalpy at 0 K (meV/atom) = 745
- density of states at the Fermi level (states/eV per atom) = 0.9605

abc: 3.014 4.180 7.052
angles: 90.00 90.00 90.00
Fractional positions:
Ba 0.000 0.000 0.000
Ag 0.500 0.500 0.312
Ag 0.500 0.500 0.688
Os 0.000 0.000 0.500